1.
Computed, not measured: a relaxed structure of InCuTc2 at the PBE level of DFT.

The space group is Cmmm (No. 65) and the conventional cell measures 3.3575, 4.3389 and 8.5785 Å, with angles of 90.00, 90.00 and 90.00 degrees. The asymmetric unit holds In at (0.0000, 0.0000, 0.0000), Cu at (0.0000, 0.0000, 0.5000) and Tc at (0.0000, 0.5000, 0.2679).

2.
Computed, not measured: a relaxed structure of Ta2InRe at the PBE level of DFT.

The space group is I-4m2 (No. 119) and the conventional cell measures 4.0288, 4.0288 and 8.8016 Å, with angles of 90.00, 90.00 and 90.00 degrees. The asymmetric unit holds Ta at (0.0000, 0.0000, 0.0000), Ta at (0.0000, 0.5000, 0.2500), In at (0.0000, 0.5000, 0.7500) and Re at (0.0000, 0.0000, 0.5000).

3.
Computed, not measured: a relaxed structure of Sc3Al7Pd2 at the PBE level of DFT.

The space group is R-3m (No. 166, hexagonal axes) and the conventional cell measures 5.3532, 5.3532 and 25.4312 Å, with angles of 90.00, 90.00 and 120.00 degrees. The asymmetric unit holds Sc at (0.0000, 0.0000, 0.0000), Sc at (0.0000, 0.0000, 0.1450), Al at (0.0000, 0.0000, 0.5000), Al at (0.0065, 0.5032, 0.9185) and Pd at (0.0000, 0.0000, 0.3351).

4.
Computed, not measured: a relaxed structure of Tb2PmSm4Er at the PBE level of DFT.

The space group is P2/m (No. 10) and the conventional cell measures 6.2247, 3.6042 and 11.9295 Å, with angles of 90.00, 100.18 and 90.00 degrees. The asymmetric unit holds Tb at (0.0000, 0.0000, 0.0000), Tb at (0.0000, 0.5000, 0.5000), Pm at (0.5000, 0.0000, 0.5000), Sm at (0.2496, 0.0000, 0.7519), Sm at (0.2501, 0.5000, 0.2479) and Er at (0.5000, 0.5000, 0.0000).

How do the records compare in energy relative to the elements? In the order shown, they have 518 218 -637 17 meV per atom.
How do the records compare in total DFT energy (no corrections)? In the order shown, they have -0.234 -0.349 -0.194 -0.171 Ha/atom.